Entry 1:
Below is a relaxed Sm3YEr crystal, with properties calculated at the GGA-PBE level.

Cell lengths 3.6274, 8.6323, 11.6945 Å; angles 90.00, 90.00, 102.19 degrees
With the nearest neighbours (Å) after each atom.
Atoms (fractional coordinates):
Sm  0.3118  0.1260  0.7500  2 Er 3.25, 2 Y 3.45-3.46, 6 Sm 3.51-3.63
Sm  0.8510  0.2002  0.4982  2 Er 3.42, 4 Sm 3.51-3.63, 1 Y 3.74
Sm  0.1490  0.7998  0.5018  2 Er 3.42, 4 Sm 3.51-3.63, 1 Y 3.74
Er  0.3486  0.1941  0.2500  6 Sm 3.25-3.42, 2 Y 3.33-3.34, 2 Er 3.63
Sm  0.8510  0.2002  0.0018  2 Er 3.42, 4 Sm 3.51-3.63, 1 Y 3.74
Y  0.0165  0.5260  0.2500  2 Er 3.33-3.34, 2 Sm 3.45-3.46, 2 Y 3.63
Sm  0.6882  0.8740  0.2500  2 Er 3.25, 2 Y 3.45-3.46, 6 Sm 3.51-3.63
Y  0.9835  0.4740  0.7500  2 Er 3.33-3.34, 2 Sm 3.45-3.46, 2 Y 3.63
Sm  0.1490  0.7998  0.9982  2 Er 3.42, 4 Sm 3.51-3.63, 1 Y 3.74
Er  0.6514  0.8059  0.7500  6 Sm 3.25-3.42, 2 Y 3.33-3.34, 2 Er 3.63

Results
Calculated total energy in eV per formula unit: -23.7
Relative energy among the computed polymorphs in eV/atom: 0.281
Symmetry: P2_1/m (11)

Entry 2:
Below is a relaxed Sm3Y7Er2 crystal, with properties calculated at the GGA-PBE level.

Cell lengths 3.5734, 5.8446, 18.7971 Å; angles 93.14, 90.00, 90.00 degrees
With the nearest neighbours (Å) after each atom.
Atoms (fractional coordinates):
Y  0.5000  0.1899  0.1786  6 Y 3.47-3.57, 2 Er 3.62-3.64
Y  0.0000  0.0000  0.0000  4 Y 3.35-3.57, 4 Sm 3.43
Y  0.5000  0.2574  0.5372  1 Er 3.18, 2 Y 3.23-3.25
Y  0.0000  0.3134  0.8559  2 Er 3.32, 7 Y 3.35-3.57, 2 Sm 3.38
Y  0.5000  0.7426  0.4628  1 Er 3.18, 2 Y 3.23-3.25
Sm  0.0000  0.2192  0.3661  2 Sm 3.57, 8 Y 3.68-3.95, 4 Er 3.68-3.69
Sm  0.0000  0.7808  0.6339  2 Sm 3.57, 8 Y 3.68-3.95, 4 Er 3.68-3.69
Er  0.5000  0.7074  0.2935  3 Y 3.18-3.32
Y  0.5000  0.8101  0.8214  6 Y 3.47-3.57, 2 Er 3.62-3.64
Y  0.0000  0.6866  0.1441  2 Er 3.32, 7 Y 3.35-3.57, 2 Sm 3.38
Er  0.5000  0.2926  0.7065  3 Y 3.18-3.32
Sm  0.5000  0.5000  0.0000  8 Y 3.38-3.43, 2 Sm 3.57

Results
Calculated total energy in eV per formula unit: -67.5
Relative energy among the computed polymorphs in eV/atom: 0.004
Symmetry: P2/m (10)

Entry 3:
Below is a relaxed Sm15YEr4 crystal, with properties calculated at the GGA-PBE level.

Cell lengths 5.0970, 5.0970, 25.4156 Å; angles 90.00, 90.00, 90.00 degrees
With the nearest neighbours (Å) after each atom.
Atoms (fractional coordinates):
Y  0.0000  0.0000  0.0000  12 Sm 3.60-3.61
Sm  0.5000  0.0000  0.6997  8 Sm 3.60, 4 Er 3.60
Er  0.0000  0.0000  0.7995  12 Sm 3.59-3.60
Sm  0.5000  0.5000  0.0000  4 Y 3.60, 8 Sm 3.61
Sm  0.0000  0.5000  0.3003  8 Sm 3.60, 4 Er 3.60
Er  0.0000  0.0000  0.2005  12 Sm 3.59-3.60
Sm  0.0000  0.5000  0.5000  8 Sm 3.60, 4 Er 3.60
Sm  0.0000  0.5000  0.1008  2 Er 3.59, 8 Sm 3.60-3.61, 2 Y 3.61
Sm  0.0000  0.5000  0.6997  8 Sm 3.60, 4 Er 3.60
Sm  0.5000  0.0000  0.5000  8 Sm 3.60, 4 Er 3.60
Sm  0.5000  0.5000  0.5998  8 Sm 3.60, 4 Er 3.60
Sm  0.5000  0.5000  0.4002  8 Sm 3.60, 4 Er 3.60
Sm  0.5000  0.0000  0.1008  2 Er 3.59, 8 Sm 3.60-3.61, 2 Y 3.61
Sm  0.0000  0.5000  0.8992  2 Er 3.59, 8 Sm 3.60-3.61, 2 Y 3.61
Er  0.0000  0.0000  0.4002  12 Sm 3.60
Sm  0.5000  0.5000  0.7995  8 Sm 3.60, 4 Er 3.60
Sm  0.5000  0.5000  0.2005  8 Sm 3.60, 4 Er 3.60
Sm  0.5000  0.0000  0.8992  2 Er 3.59, 8 Sm 3.60-3.61, 2 Y 3.61
Sm  0.5000  0.0000  0.3003  8 Sm 3.60, 4 Er 3.60
Er  0.0000  0.0000  0.5998  12 Sm 3.60

Results
Calculated total energy in eV per formula unit: -95.2
Symmetry: P4/mmm (123)

Entry 4:
Below is a relaxed SmY7Er2 crystal, with properties calculated at the GGA-PBE level.

Cell lengths 5.6600, 9.0811, 9.0811 Å; angles 121.81, 90.00, 90.00 degrees
With the nearest neighbours (Å) after each atom.
Atoms (fractional coordinates):
Y  0.0000  0.7766  0.2234  2 Er 3.06
Y  0.0000  0.2234  0.7766  2 Er 3.06
Y  0.5000  0.7055  0.9392  2 Y 3.14-3.40, 2 Er 3.16-3.25
Y  0.5000  0.5000  0.5000  2 Er 3.23, 4 Y 3.40
Sm  0.0000  0.0000  0.0000  10 Y 3.55-3.73
Y  0.5000  0.0608  0.2945  2 Y 3.14-3.40, 2 Er 3.16-3.25
Y  0.5000  0.9392  0.7055  2 Y 3.14-3.40, 2 Er 3.16-3.25
Er  0.5000  0.7035  0.2965  7 Y 3.06-3.25
Er  0.5000  0.2965  0.7035  7 Y 3.06-3.25
Y  0.5000  0.2945  0.0608  2 Y 3.14-3.40, 2 Er 3.16-3.25

Results
Calculated total energy in eV per formula unit: -52.1
Relative energy among the computed polymorphs in eV/atom: 0.579
Symmetry: Cmmm (65)

Entry 5:
Below is a relaxed SmY4Er7 crystal, with properties calculated at the GGA-PBE level.

Cell lengths 6.9442, 8.4571, 8.6965 Å; angles 87.94, 100.45, 50.63 degrees
With the nearest neighbours (Å) after each atom.
Atoms (fractional coordinates):
Er  0.0568  0.6810  0.3288  4 Er 3.23-3.55, 5 Y 3.37-3.61
Y  0.4214  0.3473  0.6827  7 Er 3.36-3.66, 2 Y 3.53, 1 Sm 3.58
Sm  0.0000  0.0000  0.0000  6 Er 3.47-3.65, 4 Y 3.58-3.83
Er  0.9432  0.3190  0.6712  4 Er 3.23-3.55, 5 Y 3.37-3.61
Er  0.2870  0.8197  0.6308  5 Er 3.30-3.69, 5 Y 3.44-3.65
Er  0.5000  0.0000  0.0000  4 Er 3.32-3.55, 2 Sm 3.47, 4 Y 3.66-3.67
Y  0.7939  0.8129  0.6659  8 Er 3.44-3.84, 4 Y 3.53-3.81, 1 Sm 3.83
Y  0.2061  0.1871  0.3341  8 Er 3.44-3.84, 4 Y 3.53-3.81, 1 Sm 3.83
Er  0.7130  0.1803  0.3692  5 Er 3.30-3.69, 5 Y 3.44-3.65
Er  0.7294  0.5211  0.9716  5 Er 3.23-3.54, 2 Y 3.36-3.55, 1 Sm 3.50
Er  0.2706  0.4789  0.0284  5 Er 3.23-3.54, 2 Y 3.36-3.55, 1 Sm 3.50
Y  0.5786  0.6527  0.3173  7 Er 3.36-3.66, 2 Y 3.53, 1 Sm 3.58

Results
Calculated total energy in eV per formula unit: -61.5
Relative energy among the computed polymorphs in eV/atom: 0.000
Symmetry: P-1 (2)

Entry 6:
Below is a relaxed Sm7Y2Er4 crystal, with properties calculated at the GGA-PBE level.

Cell lengths 9.4819, 14.7621, 6.1992 Å; angles 82.03, 96.11, 150.55 degrees
With the nearest neighbours (Å) after each atom.
Atoms (fractional coordinates):
Y  0.3073  0.6918  0.1557  7 Sm 3.57-3.60, 4 Er 3.57-3.59, 1 Y 3.59
Sm  0.2304  0.7692  0.6146  3 Y 3.57-3.60, 5 Sm 3.57-3.60, 4 Er 3.58-3.60
Er  0.9227  0.0755  0.4627  3 Er 3.55-3.57, 8 Sm 3.57-3.60, 1 Y 3.58
Y  0.6927  0.3082  0.8443  7 Sm 3.57-3.60, 4 Er 3.57-3.59, 1 Y 3.59
Sm  0.8486  0.1548  0.9237  7 Sm 3.57-3.61, 3 Er 3.58-3.59, 2 Y 3.59
Sm  0.7696  0.2308  0.3854  3 Y 3.57-3.60, 5 Sm 3.57-3.60, 4 Er 3.58-3.60
Er  0.6126  0.3828  0.3072  2 Er 3.55-3.57, 7 Sm 3.57-3.60, 3 Y 3.57-3.59
Sm  0.1514  0.8452  0.0763  7 Sm 3.57-3.61, 3 Er 3.58-3.59, 2 Y 3.59
Er  0.3874  0.6172  0.6928  2 Er 3.55-3.57, 7 Sm 3.57-3.60, 3 Y 3.57-3.59
Sm  0.5384  0.4617  0.7687  6 Sm 3.57-3.58, 5 Er 3.58-3.59, 1 Y 3.58
Er  0.0773  0.9245  0.5373  3 Er 3.55-3.57, 8 Sm 3.57-3.60, 1 Y 3.58
Sm  0.4616  0.5383  0.2313  6 Sm 3.57-3.58, 5 Er 3.58-3.59, 1 Y 3.58
Sm  0.0000  0.0000  0.0000  6 Er 3.57, 4 Sm 3.57-3.58, 2 Y 3.59

Results
Calculated total energy in eV per formula unit: -64.0
Symmetry: P-1 (2)